Computed, not measured: an optimized crystal structure of NaCaLaHg at the PBE-GGA level of DFT.

```
data_NaCaLaHg
_chemical_formula_sum 'Na4 Ca4 La4 Hg4'
_cell_length_a 7.869
_cell_length_b 7.869
_cell_length_c 7.869
_cell_angle_alpha 90.00
_cell_angle_beta 90.00
_cell_angle_gamma 90.00
_space_group_name_H-M_alt 'F -4 3 m'
_space_group_IT_number 216
_space_group_name_Hall 'F -4 2 3'
loop_
_atom_site_label
_atom_site_fract_x
_atom_site_fract_y
_atom_site_fract_z
Na1 0.000 0.000 0.000
Ca1 0.250 0.250 0.250
La1 0.250 0.250 0.750
Hg1 0.000 0.000 0.500
```

Computed properties:
spin magnetization = 0.0 μB/cell
energy of formation = -0.1851 eV per atom